Entry from Alexandria via LeMat-Bulk: a relaxed structure of RbGa6S8 (PBE).

Unit cell a=7.1243 b=7.1243 c=7.1243 alpha=92.89 beta=92.89 gamma=92.89
Closest atoms and distances in Å follow each position.
Fractional positions:
S 0.1311 0.7856 0.4079  3 Ga 2.40-2.45
S 0.7856 0.4079 0.1311  3 Ga 2.40-2.45
S 0.4079 0.1311 0.7856  3 Ga 2.40-2.45
S 0.5921 0.8689 0.2144  3 Ga 2.40-2.45
S 0.2144 0.5921 0.8689  3 Ga 2.40-2.45
S 0.3300 0.3300 0.3300  3 Ga 2.40
S 0.6700 0.6700 0.6700  3 Ga 2.40
S 0.8689 0.2144 0.5921  3 Ga 2.40-2.45
Ga 0.3692 0.8061 0.6700  4 S 2.40-2.45
Ga 0.3300 0.6308 0.1939  4 S 2.40-2.45
Ga 0.6308 0.1939 0.3300  4 S 2.40-2.45
Ga 0.8061 0.6700 0.3692  4 S 2.40-2.45
Ga 0.6700 0.3692 0.8061  4 S 2.40-2.45
Ga 0.1939 0.3300 0.6308  4 S 2.40-2.45
Rb 0.0000 0.0000 0.0000  8 S 3.46-3.86

Summary:
SG: R-3, No. 148
ΔE_f (raw) (eV per atom): -0.52

***

Entry from Alexandria via LeMat-Bulk: a relaxed structure of Rb5Ga2S5 (PBE).

Unit cell a=4.4291 b=7.8382 c=11.2594 alpha=99.16 beta=90.00 gamma=106.41
Closest atoms and distances in Å follow each position.
Fractional positions:
Rb 0.5000 0.0000 0.5000  6 S 3.32-3.46
Rb 0.6457 0.2914 0.0866  3 S 3.15-3.37, 1 Rb 3.48
Rb 0.2197 0.4395 0.6304  5 S 3.37-3.44, 1 Rb 3.48, 1 Ga 3.69
Rb 0.7803 0.5605 0.3696  5 S 3.37-3.44, 1 Rb 3.48, 1 Ga 3.69
Rb 0.3543 0.7086 0.9134  3 S 3.15-3.37, 1 Rb 3.48
S 0.0000 0.0000 0.0000  2 Ga 2.41
S 0.1095 0.2189 0.3371  1 Ga 2.32
S 0.3932 0.7865 0.2170  2 Ga 2.53
S 0.8905 0.7811 0.6629  1 Ga 2.32
S 0.6068 0.2135 0.7830  2 Ga 2.53
Ga 0.9731 0.9461 0.2052  4 S 2.32-2.53
Ga 0.0269 0.0539 0.7948  4 S 2.32-2.53

Summary:
SG: C2/m, No. 12
ΔE_f (raw) (eV per atom): -0.92

***

Entry from Alexandria via LeMat-Bulk: a relaxed structure of RbGaS6 (PBE).

Unit cell a=9.7951 b=4.5021 c=13.7622 alpha=81.64 beta=148.50 gamma=110.11
Closest atoms and distances in Å follow each position.
Fractional positions:
S 0.9954 0.7721 0.1396  1 Ga 2.07
S 0.0226 0.7159 0.4528  1 S 1.93
S 0.6502 0.8986 0.3205  1 S 1.93
S 0.0046 0.2279 0.8604  1 Ga 2.07
S 0.9774 0.2841 0.5472  1 S 1.93
S 0.3498 0.1014 0.6795  1 S 1.93
Ga 0.0000 0.0000 0.0000  2 S 2.07
Rb 0.5000 0.5000 0.5000  4 S 3.33-3.40

Summary:
SG: P-1, No. 2
ΔE_f (raw) (eV per atom): -0.26

***

Entry from Alexandria via LeMat-Bulk: a relaxed structure of Rb2GaS (PBE).

Unit cell a=12.5365 b=12.5365 c=9.2408 alpha=47.29 beta=47.29 gamma=90.00
Closest atoms and distances in Å follow each position.
Fractional positions:
S 0.5000 0.5000 0.0000  2 Ga 2.61
S 0.2500 0.7500 0.5000  2 Ga 2.61
Ga 0.0000 0.0000 0.0000  2 S 2.61
Ga 0.7500 0.2500 0.5000  2 S 2.61
Rb 0.8750 0.6866 0.7500  2 S 3.29
Rb 0.4366 0.1250 0.2500  2 S 3.29
Rb 0.3134 0.6250 0.2500  2 S 3.29
Rb 0.3750 0.5634 0.7500  2 S 3.29

Summary:
SG: I-42d, No. 122
ΔE_f (raw) (eV per atom): -0.28

***

Entry from Alexandria via LeMat-Bulk: a relaxed structure of RbGaS2 (PBE).

Unit cell a=3.7730 b=5.0664 c=8.1757 alpha=108.05 beta=89.97 gamma=90.00
Closest atoms and distances in Å follow each position.
Fractional positions:
S 0.0596 0.9247 0.8709  1 Ga 2.13
S 0.5616 0.6932 0.4298  2 Ga 2.29
Rb 0.5592 0.4852 0.9924  5 S 3.29-3.40
Ga 0.0618 0.7822 0.5963  3 S 2.13-2.29

Summary:
SG: P1, No. 1
ΔE_f (raw) (eV per atom): -0.81

***

Entry from Alexandria via LeMat-Bulk: a relaxed structure of RbGa2S3 (PBE).

Unit cell a=6.1686 b=7.4271 c=7.4271 alpha=92.22 beta=90.00 gamma=90.00
Closest atoms and distances in Å follow each position.
Fractional positions:
Ga 0.0000 0.1640 0.1640  4 S 2.31-2.47
Ga 0.0000 0.8360 0.8360  4 S 2.31-2.47
Ga 0.5000 0.1640 0.1640  4 S 2.31-2.47
Ga 0.5000 0.8360 0.8360  4 S 2.31-2.47
S 0.7500 0.6038 0.8200  2 Ga 2.31
S 0.2500 0.9126 0.0874  4 Ga 2.47
S 0.2500 0.3962 0.1800  2 Ga 2.31
S 0.7500 0.0874 0.9126  4 Ga 2.47
S 0.2500 0.8200 0.6038  2 Ga 2.31
S 0.7500 0.1800 0.3962  2 Ga 2.31
Rb 0.2500 0.3318 0.6682  10 S 3.68-4.04
Rb 0.7500 0.6682 0.3318  10 S 3.68-4.04

Summary:
SG: Cmcm, No. 63
ΔE_f (raw) (eV per atom): -0.72

***

Entry from Alexandria via LeMat-Bulk: a relaxed structure of RbGa3S (PBE).

Unit cell a=5.4312 b=5.4312 c=5.4312 alpha=90.00 beta=90.00 gamma=90.00
Closest atoms and distances in Å follow each position.
Fractional positions:
Rb 0.5000 0.5000 0.5000  12 Ga 3.84
Ga 0.0000 0.5000 0.0000  2 S 2.72
Ga 0.0000 0.0000 0.5000  2 S 2.72
Ga 0.5000 0.0000 0.0000  2 S 2.72
S 0.0000 0.0000 0.0000  6 Ga 2.72

Summary:
SG: Pm-3m, No. 221
ΔE_f (raw) (eV per atom): 0.18

***

Entry from Alexandria via LeMat-Bulk: a relaxed structure of Rb2GaS (PBE).

Unit cell a=5.7807 b=5.7807 c=5.7807 alpha=60.00 beta=60.00 gamma=60.00
Closest atoms and distances in Å follow each position.
Fractional positions:
Rb 0.7500 0.7500 0.7500  4 Ga 3.54, 4 S 3.54
Rb 0.2500 0.2500 0.2500  4 Ga 3.54, 4 S 3.54
S 0.0000 0.0000 0.0000  8 Rb 3.54
Ga 0.5000 0.5000 0.5000  8 Rb 3.54

Summary:
SG: Fm-3m, No. 225
ΔE_f (raw) (eV per atom): -0.19

***

Number 1: total magnetic moment 0.00 μB per cell. Number 2: total magnetic moment 0.00 μB per cell. Number 3: total magnetic moment 0.00 μB per cell. Number 4: total magnetic moment 1.96 μB per cell. Number 5: total magnetic moment 0.00 μB per cell. Number 6: total magnetic moment 0.00 μB per cell. Number 7: total magnetic moment 0.00 μB per cell. Number 8: total magnetic moment 1.00 μB per cell.